5
Lattice="-1.5765 -0.1923 -5.2973 -5.1634 -1.1945 1.5800 -1.1991 5.3962 0.1610" Properties=species:S:1:pos:R:3 comment="BaHfAs3, optimized geometry, DFT PBE-GGA" final_energy_ev_per_atom=-3.750 crystal_system=cubic dos_at_fermi_per_ev_cell=6.21 space_group="Pm-3m, No. 221" mass_density_g_cm3=5.3 pbc="T T T"
Hf -3.9695 2.0047 -1.7782
As -2.5817 -0.5972 0.7900
As -0.5996 2.6981 0.0805
As -0.7882 -0.0961 -2.6486
Ba 0.0000 0.0000 0.0000


6
Lattice="4.2715 0.0000 0.0000 0.0000 4.2715 0.0000 0.0000 0.0000 10.6215" Properties=species:S:1:pos:R:3 comment="BaHfAs, optimized geometry, DFT PBE-GGA" final_energy_ev_per_atom=-6.271 crystal_system=tetragonal dos_at_fermi_per_ev_cell=2.95 space_group="P4/nmm, No. 129" mass_density_g_cm3=6.7 pbc="T T T"
Hf 0.0000 0.0000 5.3108
Hf 2.1357 2.1357 5.3108
Ba 2.1357 0.0000 2.0274
Ba 0.0000 2.1357 8.5941
As 2.1357 0.0000 7.1146
As 0.0000 2.1357 3.5069


28
Lattice="-2.2653 5.8809 5.3537 1.0924 -6.9763 5.0904 13.2862 3.4319 1.8520" Properties=species:S:1:pos:R:3 comment="Ba3HfAs3, optimized geometry, DFT PBE-GGA" final_energy_ev_per_atom=-5.272 crystal_system=monoclinic dos_at_fermi_per_ev_cell=9.37 space_group="P2_1/c, No. 14" mass_density_g_cm3=5.6 pbc="T T T"
Ba 3.6221 2.0264 2.0577
Ba 0.0902 4.1112 3.8606
Ba 12.0232 -1.7747 8.4354
Ba 8.4912 0.3101 10.2384
Ba 3.7349 5.1600 5.3330
Ba 8.3784 -2.8235 6.9631
Ba 10.5961 1.2500 5.2280
Ba 1.3565 -2.3166 4.6358
Ba 1.5172 1.0865 7.0680
Ba 5.2998 -1.4054 4.2211
Ba 6.8135 3.7419 8.0749
Ba 10.7568 4.6531 7.6603
As 7.7308 0.3636 6.8847
As 2.3074 -5.4253 4.7564
As 11.2765 -2.0469 5.1734
As 0.8368 4.3834 7.1226
As 0.0392 0.7814 3.7629
As 12.0741 1.5551 8.5332
As 7.4271 0.7510 2.5816
As 9.8059 7.7618 7.5397
As 3.7049 -1.7381 7.1568
As 4.3825 1.9729 5.4113
As 4.6862 1.5855 9.7145
As 8.4084 4.0746 5.1393
Hf 0.7956 -0.2695 1.5213
Hf 11.3177 2.6060 10.7748
Hf 5.1250 0.4525 7.4285
Hf 6.9883 1.8840 4.8675


5
Lattice="5.2969 0.0000 0.0000 0.0000 6.2854 0.0000 0.0000 0.0000 5.2969" Properties=species:S:1:pos:R:3 comment="BaHf2InAs, optimized geometry, DFT PBE-GGA" final_energy_ev_per_atom=-4.889 crystal_system=tetragonal dos_at_fermi_per_ev_cell=5.46 space_group="P4/mmm, No. 123" mass_density_g_cm3=6.4 pbc="T T T"
Hf 0.0000 0.0000 2.6485
Hf 2.6485 0.0000 0.0000
As 2.6485 3.1427 2.6485
Ba 0.0000 3.1427 0.0000
In 0.0000 0.0000 0.0000


5
Lattice="-3.5841 2.1624 -0.8562 -0.0494 -1.6433 -3.9436 -1.9272 -5.5703 4.6597" Properties=species:S:1:pos:R:3 comment="BaLiHfAs2, optimized geometry, DFT PBE-GGA" final_energy_ev_per_atom=-5.522 crystal_system=tetragonal dos_at_fermi_per_ev_cell=2.14 space_group="I-4m2, No. 119" mass_density_g_cm3=6.2 pbc="T T T"
Li -3.6640 -1.5742 0.7018
Hf -1.8967 -3.4770 -0.8418
Ba 0.0000 0.0000 0.0000
As -2.8494 -1.2053 -1.7765
As -2.7113 -3.8459 1.6365


5
Lattice="5.2036 0.0000 0.0000 0.0000 6.2627 0.0000 0.0000 0.0000 5.2036" Properties=species:S:1:pos:R:3 comment="BaHfMgAs2, optimized geometry, DFT PBE-GGA" final_energy_ev_per_atom=-4.418 crystal_system=tetragonal dos_at_fermi_per_ev_cell=3.97 space_group="P4/mmm, No. 123" mass_density_g_cm3=4.8 pbc="T T T"
Mg 2.6018 3.1313 2.6018
Hf 0.0000 0.0000 0.0000
Ba 0.0000 3.1313 0.0000
As 0.0000 0.0000 2.6018
As 2.6018 0.0000 0.0000


18
Lattice="-5.2208 0.5755 -1.0419 3.4914 -0.5270 -4.0256 -1.3110 -11.2786 0.3394" Properties=species:S:1:pos:R:3 comment="BaHfAsO6, optimized geometry, DFT PBE-GGA" final_energy_ev_per_atom=-7.379 crystal_system=trigonal dos_at_fermi_per_ev_cell=11.31 space_group="P-31c, No. 163" formation_energy_uncorrected_ev_per_atom=-2.237 mass_density_g_cm3=5.7 pbc="T T T"
Ba 0.0000 0.0000 0.0000
Ba -0.6555 -5.6393 0.1697
O -4.6140 -7.0299 -2.2952
O 1.5737 -4.2002 -2.4330
O -0.1740 -4.0565 -4.4065
O -1.9134 -9.4917 -1.6423
O 1.2271 -2.0468 -4.2408
O -2.0469 -7.3442 -2.8255
O -4.0915 -9.2830 -3.1197
O -0.9934 -3.8859 -1.9026
O -1.1269 -1.7384 -3.0858
O -2.8663 -7.1736 -0.3216
O 1.0512 -1.9471 -1.6084
O -4.2674 -9.1833 -0.4874
Hf -0.3959 -8.6184 -2.7765
Hf -2.6444 -2.6117 -1.9516
As -3.2999 -8.2510 -1.7819
As 0.2596 -2.9791 -2.9462


12
Lattice="5.3932 0.0000 0.0000 -2.6966 4.6706 0.0000 0.0000 0.0000 7.8006" Properties=species:S:1:pos:R:3 comment="BaHfAs2O8, optimized geometry, DFT PBE-GGA" final_energy_ev_per_atom=-7.268 crystal_system=trigonal dos_at_fermi_per_ev_cell=0.00 space_group="P-3, No. 147" formation_energy_uncorrected_ev_per_atom=-2.198 mass_density_g_cm3=5.0 pbc="T T T"
O 3.1353 3.1204 2.6074
O 2.6966 1.5569 0.3482
O 1.5734 3.5156 5.1933
O 0.0000 3.1137 7.4525
O -1.1347 4.2754 5.1933
O -0.4387 1.5503 5.1933
O 1.1232 1.1550 2.6074
O 3.8313 0.3952 2.6074
Ba 0.0000 0.0000 0.0000
As 0.0000 3.1137 5.7669
As 2.6966 1.5569 2.0338
Hf 0.0000 0.0000 3.9003


8
Lattice="-1.8992 -2.4917 -2.8252 -3.7540 -3.1454 5.2977 -4.1528 6.1262 -2.6114" Properties=species:S:1:pos:R:3 comment="Ba2HfPaAs4, optimized geometry, DFT PBE-GGA" final_energy_ev_per_atom=-6.313 crystal_system=monoclinic dos_at_fermi_per_ev_cell=3.84 space_group="P2/m, No. 10" mass_density_g_cm3=7.2 pbc="T T T"
Hf 0.0000 0.0000 0.0000
As -4.2908 4.0875 -0.7206
As -2.6180 -0.7458 -0.7321
As -7.1880 1.2349 0.5933
As -3.6160 -1.1068 3.4070
Ba -3.0260 1.8172 -2.7183
Ba -3.9534 1.4904 1.3432
Pa -2.8266 -2.8185 1.2363


12
Lattice="-5.2018 -1.7613 4.8391 7.0491 -1.0873 1.6446 -0.2351 7.8233 0.7492" Properties=species:S:1:pos:R:3 comment="Ba3HfPa2As6, optimized geometry, DFT PBE-GGA" final_energy_ev_per_atom=-6.302 crystal_system=monoclinic dos_at_fermi_per_ev_cell=8.41 space_group="C2/m, No. 12" mass_density_g_cm3=7.2 pbc="T T T"
As 3.2326 4.1770 5.0745
As -1.6203 0.7977 2.1584
As 0.2907 5.5154 2.2785
As 1.3216 -0.5407 4.9544
As 2.3744 1.0175 1.1168
As -0.7621 3.9573 6.1161
Pa -1.1162 -1.5365 3.7737
Pa 2.9636 -1.3121 2.7099
Ba 4.8799 2.7115 2.5542
Ba -3.2676 2.2632 4.6787
Ba 0.8062 2.4874 3.6164
Hf 0.0000 0.0000 0.0000


5
Lattice="-4.5679 0.2407 2.6404 0.3147 -5.1195 1.0111 2.6322 1.0424 4.4588" Properties=species:S:1:pos:R:3 comment="BaHf2AsPt, optimized geometry, DFT PBE-GGA" final_energy_ev_per_atom=-4.337 crystal_system=tetragonal dos_at_fermi_per_ev_cell=3.46 space_group="P4/mmm, No. 123" mass_density_g_cm3=8.7 pbc="T T T"
Ba 0.0000 0.0000 0.0000
Pt -0.8105 -1.9182 4.0551
Hf 1.3161 0.5212 2.2294
Hf -2.2840 0.1203 1.3202
As 0.1574 -2.5598 0.5056


5
Lattice="-2.1175 1.4443 4.5395 -4.7627 -0.7418 -1.9856 0.0972 -5.0254 1.6442" Properties=species:S:1:pos:R:3 comment="BaHfAs2Se, optimized geometry, DFT PBE-GGA" final_energy_ev_per_atom=-5.844 crystal_system=tetragonal dos_at_fermi_per_ev_cell=4.92 space_group="P4/mmm, No. 123" formation_energy_uncorrected_ev_per_atom=-0.912 mass_density_g_cm3=6.3 pbc="T T T"
Se 0.0486 -2.5127 0.8221
As -1.0587 0.7221 2.2697
As -2.3814 -0.3709 -0.9928
Ba -3.3915 -2.1614 2.0990
Hf 0.0000 0.0000 0.0000


5
Lattice="-1.7227 0.2805 5.1882 -4.4070 -2.9741 -1.3026 2.8909 -4.8182 1.2204" Properties=species:S:1:pos:R:3 comment="BaHfAs2Se, optimized geometry, DFT PBE-GGA" final_energy_ev_per_atom=-3.726 crystal_system=tetragonal dos_at_fermi_per_ev_cell=3.74 space_group="P4/mmm, No. 123" formation_energy_uncorrected_ev_per_atom=1.206 mass_density_g_cm3=5.2 pbc="T T T"
As -2.2035 -1.4870 -0.6513
As -0.8614 0.1402 2.5941
Ba 0.0000 0.0000 0.0000
Hf -1.6194 -3.7559 2.5530
Se 1.4454 -2.4091 0.6102


12
Lattice="7.5016 -0.0015 -0.0011 -3.7503 6.4969 -0.0011 -1.2524 -2.1685 7.5100" Properties=species:S:1:pos:R:3 comment="Ba3HfTh2As6, optimized geometry, DFT PBE-GGA" final_energy_ev_per_atom=-6.078 crystal_system=monoclinic dos_at_fermi_per_ev_cell=0.39 space_group="C2/m, No. 12" mass_density_g_cm3=6.8 pbc="T T T"
Hf 0.0000 0.0000 0.0000
Ba 1.2495 2.1634 3.7539
Ba 4.9756 0.0114 3.7539
Ba -2.4767 4.3154 3.7539
Th 3.7461 2.1674 -0.0011
Th 0.0052 4.3279 -0.0011
As 2.3745 -0.0018 1.5444
As 0.1245 4.3286 5.9634
As 3.6871 2.2711 5.9634
As -1.1882 2.0558 1.5444
As 2.5643 4.4401 1.5564
As -0.0654 -0.1132 5.9514


12
Lattice="4.0525 0.0000 0.0000 0.0000 8.5922 -0.6230 0.0000 -2.8971 9.0327" Properties=species:S:1:pos:R:3 comment="BaHfZnAs3, optimized geometry, DFT PBE-GGA" final_energy_ev_per_atom=-5.280 crystal_system=monoclinic dos_at_fermi_per_ev_cell=5.97 space_group="P2_1/m, No. 11" mass_density_g_cm3=6.6 pbc="T T T"
As 3.0394 3.5706 1.1836
As 3.0394 0.4908 4.8038
As 3.0394 7.2377 0.6209
As 1.0131 5.2043 3.6059
As 1.0131 2.1245 7.2261
As 1.0131 -1.5426 7.7889
Ba 1.0131 1.1701 2.1206
Ba 3.0394 4.5250 6.2892
Zn 1.0131 -0.9514 5.3640
Zn 3.0394 6.6466 3.0457
Hf 1.0131 5.4105 0.8593
Hf 3.0394 0.2846 7.5504


4
Lattice="-2.5486 -3.0120 4.1654 -4.3817 -3.4863 -1.2505 0.6952 -5.6891 0.2630" Properties=species:S:1:pos:R:3 comment="Ba2HgAs, optimized geometry, DFT PBE-GGA" final_energy_ev_per_atom=-2.519 crystal_system=cubic dos_at_fermi_per_ev_cell=3.70 space_group="F-43m, No. 216" mass_density_g_cm3=6.8 pbc="T T T"
Ba 0.0000 0.0000 0.0000
Ba -1.5588 -3.0468 0.7945
Hg -4.6764 -9.1405 2.3834
As -3.1176 -6.0937 1.5889


6
Lattice="4.6675 0.0000 0.0000 0.0000 4.6675 0.0000 0.0000 0.0000 9.7393" Properties=species:S:1:pos:R:3 comment="BaHgAs, optimized geometry, DFT PBE-GGA" final_energy_ev_per_atom=-2.830 crystal_system=tetragonal dos_at_fermi_per_ev_cell=5.51 space_group="P4/nmm, No. 129" mass_density_g_cm3=6.5 pbc="T T T"
Ba 2.3337 0.0000 3.0866
Ba 0.0000 2.3337 6.6527
Hg 2.3337 0.0000 9.0572
Hg 0.0000 2.3337 0.6821
As 0.0000 2.3337 3.3462
As 2.3337 0.0000 6.3931


4
Lattice="6.3673 -0.0731 -0.0469 4.4843 4.5210 -0.0469 4.4843 1.8380 4.1307" Properties=species:S:1:pos:R:3 comment="BaHg2As, optimized geometry, DFT PBE-GGA" final_energy_ev_per_atom=-2.182 crystal_system=trigonal dos_at_fermi_per_ev_cell=2.36 space_group="R-3m, No. 166" mass_density_g_cm3=8.4 pbc="T T T"
As 3.8340 1.5715 1.0092
Hg 14.9448 6.1256 3.9339
Hg 8.0591 3.3033 2.1214
Ba 11.5019 4.7144 3.0277


3
Lattice="-2.3028 -4.1182 2.3262 0.8067 -4.8572 -1.8522 2.8933 -3.4199 2.7580" Properties=species:S:1:pos:R:3 comment="BaHgAs, optimized geometry, DFT PBE-GGA" final_energy_ev_per_atom=-2.741 crystal_system=cubic dos_at_fermi_per_ev_cell=2.58 space_group="F-43m, No. 216" mass_density_g_cm3=6.7 pbc="T T T"
Hg 1.0479 -9.2965 2.4240
As 0.0000 0.0000 0.0000
Ba 0.6986 -6.1977 1.6160


4
Lattice="-0.2653 -0.4736 5.7806 -2.8995 3.9560 3.1068 -5.0073 -1.4271 2.5690" Properties=species:S:1:pos:R:3 comment="Ba2HgAs, optimized geometry, DFT PBE-GGA" final_energy_ev_per_atom=-2.946 crystal_system=cubic dos_at_fermi_per_ev_cell=3.90 space_group="Fm-3m, No. 225" mass_density_g_cm3=6.6 pbc="T T T"
As 0.0000 0.0000 0.0000
Hg -4.0860 1.0277 5.7282
Ba -6.1291 1.5415 8.5923
Ba -2.0430 0.5138 2.8641